MoS2ClO | PBE+U | optimized geometry

Unit cell a=4.7411 b=4.7411 c=4.9226 alpha=90.00 beta=90.00 gamma=90.00
Atoms (fractional coordinates):
Mo1 0.0000 0.0000 0.0000
S1 0.0000 0.5000 0.0000
S2 0.5000 0.0000 0.0000
Cl1 0.0000 0.0000 0.5000
O1 0.5000 0.5000 0.5000

Values from the calculation:
magnetization	0.74	μB/f.u.
distance to the lowest polymorph of the same formula	0.199	eV/atom